Record 1
YTe2RhN PBE relaxed; V = 113.5 Å³ per cell; crystal system = tetragonal; formation energy (no corrections) = -0.22 eV/atom; total moment = 0.00 μB/cell; space group = P4/mmm (123)
1.0
-0.065 -3.804 -3.949
-0.249 -3.943 3.802
-3.770 0.154 -0.087
Te N Rh Y
2 1 1 1
Direct
0.000 0.500 0.000 Te
0.500 0.000 0.000 Te
0.000 0.000 0.500 N
0.000 0.000 0.000 Rh
0.500 0.500 0.500 Y


Record 2
Tb3NdBi3 PBE relaxed; V = 436.1 Å³ per cell; energy relative to the elements = -612 meV/atom; crystal system = hexagonal; total moment = 1.11 μB/cell; space group = P6_3/m (176)
1.0
-0.579 1.634 -5.600
6.831 -5.787 -2.395
-8.781 -2.963 0.043
Tb Bi Nd
6 6 2
Direct
0.750 0.229 0.244 Tb
0.250 0.244 0.014 Tb
0.750 0.756 0.986 Tb
0.250 0.986 0.229 Tb
0.750 0.014 0.771 Tb
0.250 0.771 0.756 Tb
0.250 0.566 0.935 Bi
0.750 0.434 0.065 Bi
0.750 0.935 0.369 Bi
0.250 0.369 0.434 Bi
0.250 0.065 0.631 Bi
0.750 0.631 0.566 Bi
0.750 0.333 0.667 Nd
0.250 0.667 0.333 Nd